# Na4Cd2SnPb

A relaxed Na4Cd2SnPb crystal (PBE, the Open Quantum Materials Database).

The structure in POSCAR format:
```
Na4Cd2SnPb
1.0
5.935 0.000 0.000
0.000 4.823 4.012
0.000 -4.823 4.012
Na Cd Sn Pb
4 2 1 1
direct
0.000 0.182 0.818
0.000 0.818 0.182
0.500 0.125 0.491
0.500 0.491 0.125
0.250 0.659 0.659
0.750 0.659 0.659
0.500 0.966 0.966
0.000 0.344 0.344
```

Properties
The value obtained for the final energy is -16.11 eV per cell. Its volume is 28.7 A^3/atom. The space-group type is Amm2, No. 38.

# Na4TlCd2Pb

A relaxed Na4TlCd2Pb crystal (PBE, the Open Quantum Materials Database).

The structure in POSCAR format:
```
Na4TlCd2Pb
1.0
5.224 0.000 0.000
0.000 5.224 0.000
0.000 0.000 7.404
Na Tl Cd Pb
4 1 2 1
direct
0.000 0.000 0.000
0.000 0.500 0.249
0.500 0.000 0.751
0.500 0.500 0.500
0.500 0.500 0.000
0.000 0.500 0.751
0.500 0.000 0.249
0.000 0.000 0.500
```

Properties
The value obtained for the final energy is -14.29 eV per cell. Its volume is 25.3 A^3/atom. The space-group type is P-4m2, No. 115.

# Na2CdPd

A relaxed Na2CdPd crystal (PBE, the Open Quantum Materials Database).

The structure in POSCAR format:
```
Na2CdPd
1.0
0.000 3.433 3.433
3.433 0.000 3.433
3.433 3.433 0.000
Na Cd Pd
2 1 1
direct
0.000 0.000 0.000
0.250 0.250 0.250
0.500 0.500 0.500
0.750 0.750 0.750
```

Properties
The value obtained for the final energy is -9.35 eV per cell. Its volume is 20.2 A^3/atom. The space-group type is F-43m, No. 216.

# Na2CdPd3

A relaxed Na2CdPd3 crystal (PBE, the Open Quantum Materials Database).

The structure in POSCAR format:
```
Na2CdPd3
1.0
5.450 0.000 0.000
-2.725 4.720 0.000
0.000 0.000 4.601
Na Cd Pd
2 1 3
direct
0.333 0.667 0.000
0.667 0.333 0.000
0.000 0.000 0.000
0.000 0.500 0.500
0.500 0.000 0.500
0.500 0.500 0.500
```

Properties
The value obtained for the final energy is -18.45 eV per cell. Its volume is 19.7 A^3/atom. The space-group type is P6/mmm, No. 191.

# Na4CdSnPd2

A relaxed Na4CdSnPd2 crystal (PBE, the Open Quantum Materials Database).

The structure in POSCAR format:
```
Na4CdSnPd2
1.0
4.906 0.000 0.000
0.000 4.906 0.000
0.000 0.000 6.808
Na Cd Sn Pd
4 1 1 2
direct
0.000 0.000 0.000
0.000 0.500 0.241
0.500 0.000 0.759
0.500 0.500 0.500
0.500 0.500 0.000
0.000 0.000 0.500
0.000 0.500 0.733
0.500 0.000 0.267
```

Properties
The value obtained for the final energy is -22.13 eV per cell. Its volume is 20.5 A^3/atom. The space-group type is P-4m2, No. 115.

# Na4ZnCdPd2

A relaxed Na4ZnCdPd2 crystal (PBE, the Open Quantum Materials Database).

The structure in POSCAR format:
```
Na4ZnCdPd2
1.0
4.769 0.000 0.000
0.000 4.769 0.000
0.000 0.000 6.849
Na Zn Cd Pd
4 1 1 2
direct
0.000 0.000 0.000
0.000 0.500 0.239
0.500 0.000 0.761
0.500 0.500 0.500
0.500 0.500 0.000
0.000 0.000 0.500
0.000 0.500 0.766
0.500 0.000 0.234
```

Properties
The value obtained for the final energy is -18.82 eV per cell. Its volume is 19.5 A^3/atom. The space-group type is P-4m2, No. 115.

# NaPrCd

A relaxed NaPrCd crystal (PBE, the Open Quantum Materials Database).

The structure in POSCAR format:
```
NaPrCd
1.0
0.000 3.712 3.712
3.712 0.000 3.712
3.712 3.712 0.000
Na Pr Cd
1 1 1
direct
0.000 0.000 0.000
0.750 0.750 0.750
0.500 0.500 0.500
```

Properties
The value obtained for the final energy is -5.76 eV per cell. Its volume is 34.1 A^3/atom. The space-group type is F-43m, No. 216.

# NaCdPt

A relaxed NaCdPt crystal (PBE, the Open Quantum Materials Database).

The structure in POSCAR format:
```
NaCdPt
1.0
0.000 3.191 3.191
3.191 0.000 3.191
3.191 3.191 0.000
Na Cd Pt
1 1 1
direct
0.000 0.000 0.000
0.750 0.750 0.750
0.250 0.250 0.250
```

Properties
The value obtained for the final energy is -7.36 eV per cell. Its volume is 21.7 A^3/atom. The space-group type is F-43m, No. 216.

# NaCd3Pt

A relaxed NaCd3Pt crystal (PBE, the Open Quantum Materials Database).

The structure in POSCAR format:
```
NaCd3Pt
1.0
7.413 0.000 0.000
3.701 6.424 0.000
3.701 2.138 6.064
Na Cd Pt
2 6 2
direct
0.249 0.248 0.250
0.751 0.752 0.750
0.250 0.250 0.749
0.251 0.748 0.249
0.252 0.749 0.751
0.748 0.251 0.249
0.749 0.252 0.751
0.750 0.750 0.251
0.000 0.000 0.000
0.500 0.500 0.500
```

Properties
The value obtained for the final energy is -21.74 eV per cell. Its volume is 28.9 A^3/atom. The space-group type is P-1, No. 2.

# NaCdSbPt

A relaxed NaCdSbPt crystal (PBE, the Open Quantum Materials Database).

The structure in POSCAR format:
```
NaCdSbPt
1.0
0.000 3.416 3.416
3.416 0.000 3.416
3.416 3.416 0.000
Na Cd Sb Pt
1 1 1 1
direct
0.000 0.000 0.000
0.250 0.250 0.250
0.750 0.750 0.750
0.500 0.500 0.500
```

Properties
The value obtained for the final energy is -13.35 eV per cell. Its volume is 19.9 A^3/atom. The space-group type is F-43m, No. 216.

# NaCdSbPt

A relaxed NaCdSbPt crystal (PBE, the Open Quantum Materials Database).

The structure in POSCAR format:
```
NaCdSbPt
1.0
0.000 3.463 3.463
3.463 0.000 3.463
3.463 3.463 0.000
Na Cd Sb Pt
1 1 1 1
direct
0.000 0.000 0.000
0.500 0.500 0.500
0.750 0.750 0.750
0.250 0.250 0.250
```

Properties
The value obtained for the final energy is -12.55 eV per cell. Its volume is 20.8 A^3/atom. The space-group type is F-43m, No. 216.

# Na2CdPtSe4

A relaxed Na2CdPtSe4 crystal (PBE, the Open Quantum Materials Database).

The structure in POSCAR format:
```
Na2CdPtSe4
1.0
4.962 -4.263 0.000
4.962 4.263 0.000
-4.940 0.000 4.968
Na Cd Pt Se
2 1 1 4
direct
0.000 0.000 0.000
0.751 0.249 0.500
0.250 0.750 0.500
0.501 0.499 0.000
0.198 0.384 0.037
0.347 0.161 0.544
0.616 0.802 0.963
0.839 0.653 0.456
```

Properties
The value obtained for the final energy is -27.31 eV per cell. Its volume is 26.3 A^3/atom. The space-group type is C2, No. 5.

# Na4CdSn2Pt

A relaxed Na4CdSn2Pt crystal (PBE, the Open Quantum Materials Database).

The structure in POSCAR format:
```
Na4CdSn2Pt
1.0
4.951 0.000 0.000
0.000 4.951 0.000
0.000 0.000 7.151
Na Cd Sn Pt
4 1 2 1
direct
0.000 0.000 0.000
0.000 0.500 0.239
0.500 0.000 0.761
0.500 0.500 0.500
0.000 0.000 0.500
0.000 0.500 0.774
0.500 0.000 0.226
0.500 0.500 0.000
```

Properties
The value obtained for the final energy is -22.07 eV per cell. Its volume is 21.9 A^3/atom. The space-group type is P-4m2, No. 115.

# Na4ZnCdPt2

A relaxed Na4ZnCdPt2 crystal (PBE, the Open Quantum Materials Database).

The structure in POSCAR format:
```
Na4ZnCdPt2
1.0
4.718 0.000 0.000
0.000 4.718 0.000
0.000 0.000 6.807
Na Zn Cd Pt
4 1 1 2
direct
0.000 0.000 0.000
0.000 0.500 0.737
0.500 0.000 0.263
0.500 0.500 0.500
0.000 0.000 0.500
0.500 0.500 0.000
0.000 0.500 0.265
0.500 0.000 0.735
```

Properties
The value obtained for the final energy is -20.98 eV per cell. Its volume is 18.9 A^3/atom. The space-group type is P-4m2, No. 115.

# NaPuCd

A relaxed NaPuCd crystal (PBE, the Open Quantum Materials Database).

The structure in POSCAR format:
```
NaPuCd
1.0
0.000 3.549 3.549
3.549 0.000 3.549
3.549 3.549 0.000
Na Pu Cd
1 1 1
direct
0.000 0.000 0.000
0.250 0.250 0.250
0.750 0.750 0.750
```

Properties
The value obtained for the final energy is -14.52 eV per cell. Its volume is 29.8 A^3/atom. The space-group type is F-43m, No. 216.

# Na2PuCdSe4

A relaxed Na2PuCdSe4 crystal (PBE, the Open Quantum Materials Database).

The structure in POSCAR format:
```
Na2PuCdSe4
1.0
5.149 -4.445 0.000
5.149 4.445 0.000
-5.148 0.000 5.166
Na Pu Cd Se
2 1 1 4
direct
0.000 0.000 0.000
0.750 0.250 0.500
0.500 0.500 0.000
0.250 0.750 0.500
0.150 0.394 0.029
0.364 0.122 0.515
0.606 0.850 0.971
0.878 0.636 0.485
```

Properties
The value obtained for the final energy is -38.74 eV per cell. Its volume is 29.6 A^3/atom. The space-group type is C2, No. 5.

# RbNa8Cd4

A relaxed RbNa8Cd4 crystal (PBE, the Open Quantum Materials Database).

The structure in POSCAR format:
```
RbNa8Cd4
1.0
-5.718 5.718 3.102
5.718 -5.718 3.102
5.718 5.718 -3.102
Rb Na Cd
1 8 4
direct
0.000 0.000 0.000
0.000 0.345 0.345
0.000 0.655 0.655
0.277 0.500 0.777
0.345 0.000 0.345
0.500 0.277 0.777
0.500 0.723 0.223
0.655 0.000 0.655
0.723 0.500 0.223
0.000 0.000 0.500
0.000 0.500 0.000
0.500 0.000 0.000
0.500 0.500 0.500
```

Properties
The value obtained for the final energy is -15.90 eV per cell. Its volume is 31.2 A^3/atom. The space-group type is I4/mmm, No. 139.

# Na2CdReSe4

A relaxed Na2CdReSe4 crystal (PBE, the Open Quantum Materials Database).

The structure in POSCAR format:
```
Na2CdReSe4
1.0
4.818 -5.033 0.000
4.818 5.033 0.000
-4.811 0.000 4.820
Na Cd Re Se
2 1 1 4
direct
0.000 0.000 0.000
0.751 0.249 0.500
0.250 0.750 0.500
0.500 0.500 0.000
0.180 0.415 0.021
0.395 0.159 0.574
0.585 0.820 0.979
0.841 0.605 0.426
```

Properties
The value obtained for the final energy is -33.22 eV per cell. Its volume is 29.2 A^3/atom. The space-group type is C2, No. 5.

# Na3Cd4S5

A relaxed Na3Cd4S5 crystal (PBE, the Open Quantum Materials Database).

The structure in POSCAR format:
```
Na3Cd4S5
1.0
13.374 -2.127 0.000
13.374 2.127 0.000
-3.383 0.000 10.128
Na Cd S
6 8 10
direct
0.009 0.009 0.198
0.112 0.112 0.731
0.298 0.298 0.422
0.702 0.702 0.578
0.888 0.888 0.269
0.991 0.991 0.802
0.156 0.156 0.280
0.249 0.249 0.876
0.397 0.397 0.042
0.442 0.442 0.527
0.558 0.558 0.473
0.603 0.603 0.958
0.751 0.751 0.124
0.844 0.844 0.720
0.081 0.081 0.062
0.115 0.115 0.472
0.284 0.284 0.680
0.312 0.312 0.128
0.464 0.464 0.297
0.536 0.536 0.703
0.688 0.688 0.872
0.716 0.716 0.320
0.885 0.885 0.528
0.919 0.919 0.938
```

Properties
The value obtained for the final energy is -73.54 eV per cell. Its volume is 24.0 A^3/atom. The space-group type is C2/m, No. 12.

# Na6CdS4

A relaxed Na6CdS4 crystal (PBE, the Open Quantum Materials Database).

The structure in POSCAR format:
```
Na6CdS4
1.0
9.140 0.000 0.000
-4.570 7.916 0.000
0.000 0.000 6.950
Na Cd S
12 2 8
direct
0.065 0.533 0.000
0.147 0.294 0.334
0.147 0.853 0.334
0.294 0.147 0.834
0.467 0.533 0.000
0.467 0.935 0.000
0.533 0.065 0.500
0.533 0.467 0.500
0.706 0.853 0.334
0.853 0.147 0.834
0.853 0.706 0.834
0.935 0.467 0.500
0.333 0.667 0.622
0.667 0.333 0.122
0.181 0.361 0.735
0.181 0.819 0.735
0.333 0.667 0.256
0.361 0.181 0.235
0.639 0.819 0.735
0.667 0.333 0.756
0.819 0.181 0.235
0.819 0.639 0.235
```

Properties
The value obtained for the final energy is -72.59 eV per cell. Its volume is 22.9 A^3/atom. The space-group type is P6_3mc, No. 186.

# NaCdSbS3

A relaxed NaCdSbS3 crystal (PBE, the Open Quantum Materials Database).

The structure in POSCAR format:
```
NaCdSbS3
1.0
4.087 -4.090 0.000
4.087 4.090 0.000
-3.952 0.000 16.789
Na Cd Sb S
4 4 4 12
direct
0.011 0.313 0.079
0.313 0.011 0.579
0.687 0.989 0.421
0.989 0.687 0.921
0.118 0.882 0.250
0.387 0.613 0.750
0.613 0.387 0.250
0.882 0.118 0.750
0.196 0.451 0.407
0.451 0.196 0.907
0.549 0.804 0.093
0.804 0.549 0.593
0.020 0.172 0.904
0.085 0.419 0.259
0.172 0.020 0.404
0.379 0.514 0.597
0.419 0.085 0.759
0.486 0.621 0.903
0.514 0.379 0.097
0.581 0.915 0.241
0.621 0.486 0.403
0.828 0.980 0.596
0.915 0.581 0.741
0.980 0.828 0.096
```

Properties
The value obtained for the final energy is -90.31 eV per cell. Its volume is 23.4 A^3/atom. The space-group type is C2/c, No. 15.

# Na2CdTcSe2S2

A relaxed Na2CdTcSe2S2 crystal (PBE, the Open Quantum Materials Database).

The structure in POSCAR format:
```
Na2CdTcSe2S2
1.0
4.591 -5.222 0.000
4.591 5.222 0.000
-4.569 0.000 4.658
Na Cd Tc Se S
2 1 1 2 2
direct
0.000 0.000 0.000
0.783 0.217 0.500
0.272 0.728 0.500
0.508 0.492 0.000
0.408 0.144 0.570
0.856 0.592 0.430
0.202 0.411 0.029
0.589 0.798 0.971
```

Properties
The value obtained for the final energy is -33.54 eV per cell. Its volume is 27.9 A^3/atom. The space-group type is C2, No. 5.

# NaSmCdS3

A relaxed NaSmCdS3 crystal (PBE, the Open Quantum Materials Database).

The structure in POSCAR format:
```
NaSmCdS3
1.0
14.182 0.000 0.000
0.000 4.089 0.000
0.000 0.000 11.296
Na Sm Cd S
4 4 4 12
direct
0.212 0.250 0.193
0.288 0.750 0.693
0.712 0.250 0.307
0.788 0.750 0.807
0.041 0.750 0.855
0.459 0.250 0.355
0.541 0.750 0.645
0.959 0.250 0.145
0.041 0.250 0.599
0.459 0.750 0.099
0.541 0.250 0.901
0.959 0.750 0.401
0.069 0.250 0.371
0.088 0.750 0.088
0.159 0.250 0.765
0.341 0.750 0.265
0.412 0.250 0.588
0.431 0.750 0.871
0.569 0.250 0.129
0.588 0.750 0.412
0.659 0.250 0.735
0.841 0.750 0.235
0.912 0.250 0.912
0.931 0.750 0.629
```

Properties
The value obtained for the final energy is -109.20 eV per cell. Its volume is 27.3 A^3/atom. The space-group type is Pnma, No. 62.